Record 1
4
Lattice="-1.744 -1.687 2.565 0.580 -3.436 0.564 6.365 0.415 7.030" Properties=species:S:1:pos:R:3 comment="PmNbSe2, optimized geometry, DFT PBE" e_tot_ev_per_cell=-24.4 sg="No. 166" e_form_raw_ev_per_atom=-0.66 total_magnetization_mub_per_fu=0.1 pbc="T T T"
Nb 2.601 -2.354 5.079
Se 4.222 -0.258 5.130
Se 0.979 -4.449 5.029
Pm 0.000 0.000 0.000

---

Record 2
4
Lattice="5.197 0.000 0.000 0.000 5.197 0.000 0.000 0.000 5.197" Properties=species:S:1:pos:R:3 comment="TbPr3, optimized geometry, DFT PBE" e_tot_ev_per_cell=-18.9 sg="No. 221" ef_ev_per_atom=0.01 total_magnetization_mub_per_fu=0.0 polymorph_energy_ev_per_atom=0.000 pbc="T T T"
Pr 0.000 2.599 2.599
Pr 2.599 0.000 2.599
Pr 2.599 2.599 0.000
Tb 0.000 0.000 0.000

---

Record 3
12
Lattice="-2.560 0.853 -3.995 -4.777 0.590 0.278 -1.433 8.215 -0.236" Properties=species:S:1:pos:R:3 comment="ThTi2Co9, optimized geometry, DFT PBE" e_tot_ev_per_cell=-89.8 sg="No. 166" ef_ev_per_atom=-0.22 total_magnetization_mub_per_fu=8.4 pbc="T T T"
Th 0.000 0.000 0.000
Ti -6.903 4.752 -3.288
Ti -1.866 4.905 -0.665
Co -4.883 1.025 -2.470
Co -3.886 8.632 -1.483
Co -4.385 4.829 -1.977
Co -3.372 2.751 -1.580
Co -4.683 3.188 -3.625
Co -5.818 3.053 -1.438
Co -5.397 6.907 -2.373
Co -2.951 6.605 -2.516
Co -4.086 6.470 -0.328

---

Record 4
18
Lattice="-5.958 -4.018 -4.877 -6.806 -3.863 3.765 -3.185 5.217 -0.406" Properties=species:S:1:pos:R:3 comment="Sc4Hg5, optimized geometry, DFT PBE" e_tot_ev_per_cell=-59.7 sg="No. 193" ef_ev_per_atom=-0.33 total_magnetization_mub_per_fu=0.0 polymorph_energy_ev_per_atom=0.000 pbc="T T T"
Hg -7.347 -2.605 1.055
Hg -2.851 0.138 1.035
Hg -4.956 -1.501 -3.507
Hg -8.603 -0.058 -2.574
Hg -7.141 1.215 2.324
Hg -4.187 2.700 -1.777
Hg -4.255 -2.627 -0.371
Hg -10.102 -2.645 -0.945
Hg -8.509 -5.254 -0.742
Hg -5.847 -0.019 -0.574
Sc 0.000 0.000 0.000
Sc -1.593 2.608 -0.203
Sc -7.061 -2.657 -1.851
Sc -5.139 -1.161 2.300
Sc -2.953 -0.150 -1.867
Sc -8.888 -0.006 0.332
Sc -4.853 2.514 1.058
Sc -6.190 1.349 -3.416

---

Record 5
12
Lattice="-0.104 4.678 3.197 2.687 -6.718 4.894 5.376 1.102 -1.438" Properties=species:S:1:pos:R:3 comment="AcMnCo, optimized geometry, DFT PBE" e_tot_ev_per_cell=-80.6 sg="No. 139" ef_ev_per_atom=0.07 total_magnetization_mub_per_fu=4.2 pbc="T T T"
Co 3.102 2.116 2.027
Co 7.493 -0.164 5.505
Co 4.857 -3.054 4.626
Co 0.466 -0.774 1.147
Mn 4.005 -5.273 5.334
Mn 4.006 1.996 -0.280
Mn 3.954 4.335 1.319
Mn 3.953 -2.934 6.932
Ac 4.445 -0.116 5.336
Ac 6.150 2.068 2.196
Ac 3.514 -0.822 1.317
Ac 1.809 -3.006 4.457

---

Record 6
4
Lattice="-4.704 1.232 0.663 0.018 -2.139 4.098 1.543 4.603 2.396" Properties=species:S:1:pos:R:3 comment="BaMn2Te, optimized geometry, DFT PBE" e_tot_ev_per_cell=-22.9 sg="No. 47" e_form_raw_ev_per_atom=0.13 total_magnetization_mub_per_fu=8.0 pbc="T T T"
Ba -1.181 2.464 5.202
Mn 1.546 4.061 3.417
Mn 0.778 1.773 2.226
Te -1.962 1.232 1.955

---

Record 7
19
Lattice="8.274 0.301 1.268 1.133 8.201 1.268 0.333 0.301 8.363" Properties=species:S:1:pos:R:3 comment="K2Hg16Bi, optimized geometry, DFT PBE" e_tot_ev_per_cell=-12.6 sg="No. 160" ef_ev_per_atom=-0.09 total_magnetization_mub_per_fu=0.0 pbc="T T T"
K 6.424 5.807 7.189
K 3.171 2.866 3.548
Hg 5.876 0.306 3.395
Hg 0.577 2.671 6.220
Hg 3.274 5.815 1.271
Hg 0.896 5.816 3.395
Hg 6.116 2.671 1.271
Hg 2.716 0.305 6.219
Hg 3.999 7.504 4.476
Hg 7.869 3.223 4.476
Hg 3.566 3.223 8.320
Hg 5.529 2.156 6.187
Hg 2.702 5.284 6.187
Hg 5.846 5.284 3.378
Hg 8.930 4.907 9.994
Hg 5.782 8.390 9.993
Hg 9.283 8.390 6.865
Hg 1.056 0.955 1.182
Bi 8.913 8.056 9.974

---

Record 8
5
Lattice="-1.527 1.744 3.105 -1.627 -3.347 1.080 4.268 -1.183 2.763" Properties=species:S:1:pos:R:3 comment="TlRuSN2, optimized geometry, DFT PBE" e_tot_ev_per_cell=-29.0 sg="No. 123" e_form_raw_ev_per_atom=0.68 total_magnetization_mub_per_fu=0.2 polymorph_energy_ev_per_atom=0.000 pbc="T T T"
Ru 0.000 0.000 0.000
Tl 0.557 -1.393 3.474
S 2.134 -0.592 1.382
N -0.814 -1.673 0.540
N -0.763 0.872 1.553

---

Record 9
3
Lattice="-3.404 0.428 -1.848 -1.896 -0.701 3.331 2.689 4.554 0.209" Properties=species:S:1:pos:R:3 comment="ThGeRh, optimized geometry, DFT PBE" e_tot_ev_per_cell=-20.8 sg="No. 107" ef_ev_per_atom=-0.46 total_magnetization_mub_per_fu=0.0 pbc="T T T"
Ge -2.614 3.963 1.625
Rh 0.019 2.185 0.470
Th -2.639 1.089 1.006

---

Record 10
9
Lattice="4.730 0.000 1.262 2.056 5.553 1.790 0.195 -0.240 8.764" Properties=species:S:1:pos:R:3 comment="Ce3In4Au2, optimized geometry, DFT PBE" e_tot_ev_per_cell=-39.9 sg="No. 12" ef_ev_per_atom=-0.51 total_magnetization_mub_per_fu=3.7 polymorph_energy_ev_per_atom=0.000 pbc="T T T"
Ce 3.099 3.762 7.374
Ce 0.000 0.000 0.000
Ce 3.882 1.551 4.441
In 2.083 2.160 1.689
In 4.898 3.152 10.126
In 0.884 1.555 6.181
In 6.097 3.758 5.634
Au 3.856 5.090 4.539
Au 3.125 0.222 7.276